1.
RbNa2GePd: optimized geometry, PBE.

Cell lengths 5.6775, 5.6775, 4.8277 Å; angles 90.00, 90.00, 90.00 degrees
Space group P4/mmm (No. 123)
One atom of each set of equivalent atoms:
Rb (0.0000, 0.0000, 0.0000) (multiplicity 1)
Na (0.0000, 0.5000, 0.5000) (multiplicity 2)
Ge (0.5000, 0.5000, 0.5000) (multiplicity 1)
Pd (0.5000, 0.5000, 0.0000) (multiplicity 1)

## Properties
The value obtained for the formation energy is -66 meV/atom. Its distance to the lowest polymorph of the same formula is 80 meV per atom.


2.
Na2GePdS4: optimized geometry, PBE.

Cell lengths 7.0887, 7.0887, 6.5380 Å; angles 90.00, 90.00, 90.00 degrees
Space group I-42m (No. 121)
One atom of each set of equivalent atoms:
Na (0.0000, 0.5000, 0.0000) (multiplicity 4)
Ge (0.0000, 0.0000, 0.0000) (multiplicity 2)
Pd (0.0000, 0.0000, 0.5000) (multiplicity 2)
S (0.1691, 0.1691, 0.7769) (multiplicity 8)

## Properties
Its formation energy without anion corrections is -0.535 eV per atom.


3.
Na2Ge3SbPd4: optimized geometry, PBE.

Cell lengths 4.4597, 4.4597, 10.1709 Å; angles 90.00, 90.00, 90.00 degrees
Space group P-4m2 (No. 115)
One atom of each set of equivalent atoms:
Na (0.0000, 0.5000, 0.2379) (multiplicity 2)
Ge (0.0000, 0.5000, 0.8851) (multiplicity 2)
Ge (0.5000, 0.5000, 0.5000) (multiplicity 1)
Sb (0.0000, 0.0000, 0.5000) (multiplicity 1)
Pd (0.0000, 0.0000, 0.0000) (multiplicity 1)
Pd (0.0000, 0.5000, 0.6430) (multiplicity 2)
Pd (0.5000, 0.5000, 0.0000) (multiplicity 1)

## Properties
Its formation energy without anion corrections is -0.386 eV per atom.


4.
Na2GeSbPd6: optimized geometry, PBE.

Cell lengths 11.4588, 5.5314, 7.6326 Å; angles 90.00, 129.38, 90.00 degrees
Space group C2/m (No. 12)
One atom of each set of equivalent atoms:
Na (0.0043, 0.0000, 0.2510) (multiplicity 4)
Ge (0.0000, 0.5000, 0.5000) (multiplicity 2)
Sb (0.0000, 0.5000, 0.0000) (multiplicity 2)
Pd (0.1837, 0.5000, 0.4379) (multiplicity 4)
Pd (0.2424, 0.2536, 0.8074) (multiplicity 8)

## Properties
Its formation energy without anion corrections is -0.280 eV per atom.


5.
Na2ScGePd: optimized geometry, PBE.

Cell lengths 5.2256, 5.2256, 5.1591 Å; angles 90.00, 90.00, 90.00 degrees
Space group P4/mmm (No. 123)
One atom of each set of equivalent atoms:
Na (0.0000, 0.5000, 0.0000) (multiplicity 2)
Sc (0.0000, 0.0000, 0.5000) (multiplicity 1)
Ge (0.0000, 0.0000, 0.0000) (multiplicity 1)
Pd (0.5000, 0.5000, 0.5000) (multiplicity 1)

## Properties
The value obtained for the formation energy is 361 meV/atom.


6.
Na2SiGe2Pd5: optimized geometry, PBE.

Cell lengths 10.8943, 10.8943, 2.8616 Å; angles 90.00, 90.00, 90.00 degrees
Space group P4/mbm (No. 127)
One atom of each set of equivalent atoms:
Na (0.1713, 0.3287, 0.0000) (multiplicity 4)
Si (0.0000, 0.0000, 0.0000) (multiplicity 2)
Ge (0.1362, 0.6362, 0.0000) (multiplicity 4)
Pd (0.0000, 0.5000, 0.5000) (multiplicity 2)
Pd (0.0598, 0.8175, 0.5000) (multiplicity 8)

## Properties
Its formation energy without anion corrections is -0.462 eV per atom.


7.
NaSnGePd: optimized geometry, PBE.

Cell lengths 4.5640, 4.5632, 7.9992 Å; angles 90.00, 90.05, 90.00 degrees
Space group Cm (No. 8)
One atom of each set of equivalent atoms:
Na (0.0000, 0.0000, 0.0000) (multiplicity 2)
Sn (0.4977, 0.0000, 0.3211) (multiplicity 2)
Ge (0.4983, 0.0000, 0.7268) (multiplicity 2)
Pd (0.4985, 0.5000, 0.5510) (multiplicity 2)

## Properties
The value obtained for the formation energy is -307 meV/atom.


8.
NaSrGePd2: optimized geometry, PBE.

Cell lengths 4.8637, 4.8637, 5.0951 Å; angles 90.00, 90.00, 90.00 degrees
Space group P4/mmm (No. 123)
One atom of each set of equivalent atoms:
Na (0.0000, 0.0000, 0.0000) (multiplicity 1)
Sr (0.5000, 0.5000, 0.0000) (multiplicity 1)
Ge (0.0000, 0.0000, 0.5000) (multiplicity 1)
Pd (0.0000, 0.5000, 0.5000) (multiplicity 2)

## Properties
The value obtained for the formation energy is -279 meV/atom.